36
Lattice="4.411 0.000 0.000 0.000 5.100 0.000 -0.154 0.000 30.901" Properties=species:S:1:pos:R:3 comment="Cu17Sb PBE relaxed" density_g_cm3=5.7 sg="P2_1/m (11)" total_energy_ev_per_atom=-3.691 volume_a3_per_cell=695.1 pbc="T T T"
Cu 2.179 2.569 6.252
Cu 2.813 1.275 26.744
Cu 1.444 3.825 4.158
Cu -0.107 1.275 24.672
Cu -0.021 1.275 6.217
Cu 4.408 3.825 0.022
Cu 3.532 2.558 28.829
Cu 1.462 1.275 4.173
Cu 2.796 3.825 26.729
Cu 3.657 0.002 4.149
Cu 1.375 3.825 22.576
Cu 3.577 5.087 22.595
Cu 0.725 0.008 2.072
Sb 1.376 1.275 21.834
Cu 2.078 0.019 24.649
Cu 1.323 3.825 28.842
Cu 2.882 1.275 8.326
Cu 2.934 1.275 2.059
Cu 4.364 3.825 6.229
Cu 0.600 5.098 26.753
Cu 0.680 0.013 8.307
Cu 3.577 2.563 22.595
Cu 3.657 2.548 4.149
Cu -0.151 1.275 30.879
Cu 2.205 2.550 0.000
Cu 0.725 2.542 2.072
Cu 0.680 2.537 8.307
Cu 2.179 5.081 6.252
Cu 1.325 1.275 28.822
Cu 2.078 2.531 24.649
Cu 2.205 0.000 0.000
Cu 2.932 3.825 2.079
Cu 4.278 3.825 24.684
Cu 3.532 5.092 28.829
Cu 0.600 2.552 26.753
Sb 2.882 3.825 9.067